Mg4Tl7Pb: optimized geometry, PBE.

Values from the calculation:
The calculated density is 8.37 g/cm³. Its excess energy over the best structure of this formula in the dataset is 0.000 eV/atom. For the energy of formation from the pure elements, the calculation gives 0.4 eV per formula unit. Its density of states at the Fermi level is 0.38 states/eV/atom.

abc: 4.9412 4.9812 15.5565
angles: 89.90 89.93 64.09
Closest atoms and distances in Å follow each position.
Space group P-1 (No. 2)
Asymmetric unit:
Mg  0.1613  0.1578  0.4227 [2 per cell]  3 Tl 3.04-3.13, 3 Pb 3.11-3.19
Mg  0.1630  0.1592  0.0728 [2 per cell]  7 Tl 3.05-3.33
Tl  0.1753  0.1829  0.8589 [2 per cell]  4 Mg 3.05-3.33, 4 Tl 3.36-3.37
Tl  0.1765  0.1837  0.6431 [2 per cell]  3 Mg 3.04-3.13, 4 Tl 3.36-3.39
Tl  0.4777  0.4652  0.2479 [2 per cell]  6 Tl 3.36-3.39
Tl  0.5000  0.5000  0.0000 [1 per cell]  6 Mg 3.07-3.17
Pb  0.5000  0.5000  0.5000 [1 per cell]  6 Mg 3.11-3.19

=====

LiHgBiF6: optimized geometry, PBE.

Values from the calculation:
The calculated density is 6.43 g/cm³. The calculation puts the uncorrected formation energy at -212.7 kJ per mole of atoms. Its density of states at the Fermi level is 0.00 states/eV/atom.

abc: 5.6136 5.6136 10.0390
angles: 90.00 90.00 120.00
Closest atoms and distances in Å follow each position.
Space group P-31c (No. 163)
Asymmetric unit:
Li  0.3333  0.6667  0.2500 [2 per cell]  6 F 2.10
Hg  0.3333  0.6667  0.7500 [2 per cell]  6 F 2.34
Bi  0.0000  0.0000  0.0000 [2 per cell]  6 F 2.30
F  0.0334  0.3495  0.1320 [12 per cell]  1 Li 2.10, 1 Bi 2.30, 1 Hg 2.34

=====

SrP4Pb: optimized geometry, PBE.

Values from the calculation:
The calculated density is 5.29 g/cm³. For the energy of formation from the pure elements, the calculation gives 0.2 eV per formula unit. Its density of states at the Fermi level is 0.25 states/eV/atom.

abc: 8.0711 8.0711 8.0711
angles: 90.00 90.00 90.00
Closest atoms and distances in Å follow each position.
Space group F-43m (No. 216)
Asymmetric unit:
Sr  0.0000  0.0000  0.0000 [4 per cell]  12 P 3.41, 4 Pb 3.49
P  0.1042  0.1042  0.6042 [16 per cell]  3 P 2.38
Pb  0.2500  0.2500  0.2500 [4 per cell]  12 P 3.31, 4 Sr 3.49

=====

HoCoPt: optimized geometry, PBE.

Values from the calculation:
The calculated density is 13.39 g/cm³. For the energy of formation from the pure elements, the calculation gives -1.3 eV per formula unit. Its density of states at the Fermi level is 0.96 states/eV/atom.

abc: 9.3704 5.5456 4.5692
angles: 90.00 118.95 90.00
Closest atoms and distances in Å follow each position.
Space group C2/m (No. 12)
Asymmetric unit:
Ho  0.1270  0.0000  0.3769 [4 per cell]  3 Co 2.71-2.86, 4 Pt 2.85-2.86
Co  0.0427  0.5000  0.2918 [4 per cell]  2 Co 2.38-2.39
Pt  0.2500  0.2500  0.0000 [4 per cell]  2 Co 2.77, 2 Pt 2.77, 4 Ho 2.85-2.86

=====

TiGe2P: optimized geometry, PBE.

Values from the calculation:
The calculated density is 5.41 g/cm³. Its excess energy over the best structure of this formula in the dataset is 0.000 eV/atom. For the energy of formation from the pure elements, the calculation gives 0.3 eV per formula unit. Its density of states at the Fermi level is 1.00 states/eV/atom.

abc: 7.2409 7.2409 5.2523
angles: 90.00 90.00 90.00
Closest atoms and distances in Å follow each position.
Space group I-42d (No. 122)
Asymmetric unit:
Ti  0.0000  0.0000  0.0000 [4 per cell]  2 P 2.63, 4 Ge 2.73
Ge  0.2326  0.2500  0.6250 [8 per cell]  2 P 2.56, 2 Ge 2.64, 2 Ti 2.73
P  0.0000  0.0000  0.5000 [4 per cell]  4 Ge 2.56, 2 Ti 2.63

=====

Zr2TaVN: optimized geometry, PBE.

Values from the calculation:
The calculated density is 8.67 g/cm³. The calculation puts the uncorrected formation energy at -54.0 kJ per mole of atoms. Its density of states at the Fermi level is 0.97 states/eV/atom.

abc: 4.6168 4.6168 3.8505
angles: 90.00 90.00 90.00
Closest atoms and distances in Å follow each position.
Space group P4/mmm (No. 123)
Asymmetric unit:
Zr  0.0000  0.5000  0.0000 [2 per cell]  2 N 2.31
Ta  0.0000  0.0000  0.5000 [1 per cell]  8 Zr 3.01, 4 V 3.26
V  0.5000  0.5000  0.5000 [1 per cell]  2 N 1.93
N  0.5000  0.5000  0.0000 [1 per cell]  2 V 1.93

=====

Sr2Tl6In: optimized geometry, PBE.

Values from the calculation:
The calculated density is 8.79 g/cm³. Its excess energy over the best structure of this formula in the dataset is 0.000 eV/atom. For the energy of formation from the pure elements, the calculation gives -2.0 eV per formula unit. Its density of states at the Fermi level is 0.49 states/eV/atom.

abc: 7.0630 7.0630 6.6274
angles: 90.00 90.00 120.00
Closest atoms and distances in Å follow each position.
Space group P-3m1 (No. 164)
Asymmetric unit:
Sr  0.3333  0.6667  0.3390 [2 per cell]  12 Tl 3.70-3.90
Tl  0.1788  0.3576  0.8246 [6 per cell]  1 In 3.07, 4 Tl 3.19-3.27
In  0.0000  0.0000  0.5000 [1 per cell]  6 Tl 3.07

=====

TbPm6Nd2Mg: optimized geometry, PBE.

Values from the calculation:
The calculated density is 6.65 g/cm³. For the energy of formation from the pure elements, the calculation gives 1.1 eV per formula unit. Its density of states at the Fermi level is 1.27 states/eV/atom.

abc: 9.3011 15.5460 9.2869
angles: 90.00 94.06 90.00
Closest atoms and distances in Å follow each position.
Space group C2/c (No. 15)
Asymmetric unit:
Tb  0.0000  0.0231  0.2500 [4 per cell]  4 Nd 3.44-3.63, 6 Pm 3.56-3.76
Pm  0.0388  0.1786  0.9458 [8 per cell]  1 Nd 3.45, 7 Pm 3.46-3.72, 2 Tb 3.63-3.76
Pm  0.1121  0.3859  0.1029 [8 per cell]  3 Nd 3.21-3.47, 4 Pm 3.34-3.58, 2 Mg 3.41-3.49
Pm  0.2157  0.2118  0.2944 [8 per cell]  5 Pm 3.34-3.72, 1 Mg 3.40, 1 Nd 3.41, 1 Tb 3.56
Nd  0.2318  0.4456  0.4513 [8 per cell]  5 Pm 3.21-3.47, 1 Tb 3.44, 1 Mg 3.45
Mg  0.0000  0.4208  0.7500 [4 per cell]  6 Pm 3.40-3.49, 4 Nd 3.45-3.65

=====

PuTlBiPb: optimized geometry, PBE.

Values from the calculation:
The calculated density is 12.22 g/cm³. Its excess energy over the best structure of this formula in the dataset is 0.000 eV/atom. For the energy of formation from the pure elements, the calculation gives -0.5 eV per formula unit. Its density of states at the Fermi level is 3.08 states/eV/atom.

abc: 4.5913 4.5913 11.1488
angles: 90.00 90.00 90.00
Closest atoms and distances in Å follow each position.
Space group P4/nmm (No. 129, origin choice 2)
Asymmetric unit:
Pu  0.2500  0.2500  0.2445 [2 per cell]  4 Bi 3.25, 4 Pb 3.56
Tl  0.2500  0.7500  0.5000 [2 per cell]  4 Tl 3.25, 4 Bi 3.57
Bi  0.2500  0.2500  0.7449 [2 per cell]  4 Pu 3.25, 4 Tl 3.57
Pb  0.2500  0.7500  0.0000 [2 per cell]  4 Pb 3.25, 4 Pu 3.56

=====

Y2Er3In2: optimized geometry, PBE.

Values from the calculation:
The calculated density is 7.64 g/cm³. Its excess energy over the best structure of this formula in the dataset is 0.127 eV/atom. For the energy of formation from the pure elements, the calculation gives -1.0 eV per formula unit. Its density of states at the Fermi level is 0.90 states/eV/atom.

abc: 4.9108 23.4721 3.4311
angles: 90.00 90.00 90.00
Closest atoms and distances in Å follow each position.
Space group Cmmm (No. 65)
Asymmetric unit:
Y  0.0000  0.2140  0.0000 [4 per cell]  2 Y 2.98
Er  0.0000  0.3579  0.5000 [4 per cell]  3 Er 3.34-3.43, 4 In 3.43, 4 Y 3.44
Er  0.0000  0.5000  0.5000 [2 per cell]  4 Er 3.34-3.43, 8 In 3.43
In  0.0000  0.0712  0.0000 [4 per cell]  3 In 3.34-3.43, 1 Y 3.35, 8 Er 3.43